Material: DyPaBi2
Method: DFT, PBE-GGA
State: relaxed

Values from the calculation:
ΔH_f (0 K) in eV per atom: -0.44
Relative energy among the computed polymorphs in kJ per mole of atoms: 0.0
Crystal system: trigonal

Cell and atoms, written as extended XYZ:
```
4
Lattice="4.455 0.000 0.000 2.228 3.858 0.000 2.228 1.286 7.415" Properties=species:S:1:pos:R:3 pbc="T T T"
Pa 0.000 0.000 0.000
Bi 2.228 1.286 1.882
Bi 6.683 3.858 5.532
Dy 4.455 2.572 3.707
```

Material: BaPuCd2
Method: DFT, PBE-GGA
State: relaxed

Values from the calculation:
ΔH_f (0 K) in eV per atom: -0.09
Crystal system: tetragonal

Cell and atoms, written as extended XYZ:
```
4
Lattice="-0.747 -3.332 1.952 3.842 -0.845 0.027 0.837 4.036 7.210" Properties=species:S:1:pos:R:3 pbc="T T T"
Cd 0.657 3.168 5.659
Cd 0.180 0.868 1.551
Ba 1.966 -0.071 4.595
Pu 1.547 -2.089 0.990
```

Material: RbBSbI2
Method: DFT, PBE-GGA
State: relaxed

Values from the calculation:
Formation energy (no corrections) in eV per atom: 1.330
Relative energy among the computed polymorphs in kJ per mole of atoms: 111.1
Crystal system: tetragonal

Cell and atoms, written as extended XYZ:
```
5
Lattice="-3.089 6.034 -1.259 -4.304 -3.119 -4.390 -4.528 -1.212 5.301" Properties=species:S:1:pos:R:3 pbc="T T T"
I -2.152 -1.560 -2.195
I -1.544 3.017 -0.629
Sb -2.264 -0.606 2.650
B -5.961 0.851 -0.174
Rb 0.000 0.000 0.000
```

Material: Be2TeIr
Method: DFT, PBE-GGA
State: relaxed

Values from the calculation:
Formation energy (no corrections) in eV per atom: 0.402
Crystal system: monoclinic

Cell and atoms, written as extended XYZ:
```
4
Lattice="4.999 -0.004 -0.006 -1.798 4.665 -0.006 1.076 1.567 2.584" Properties=species:S:1:pos:R:3 pbc="T T T"
Be 0.000 0.000 0.000
Be 1.601 2.331 -0.006
Ir 3.038 0.782 1.289
Te -0.361 3.116 1.289
```

| no. | Fermi-level density of states (states/eV/cell) |
| --- | --- |
| 1 | 6.743 |
| 2 | 9.804 |
| 3 | 8.466 |
| 4 | 0.991 |